DFT (PBE) results for a relaxed Tl2HgPdBr6 crystal.

formation energy without anion corrections = -54 kJ per mole of atoms
size of the total moment = 0.0 Bohr magnetons per cell

```
data_Tl2HgPdBr6
_cell_length_a 7.9705
_cell_length_b 7.8424
_cell_length_c 10.8945
_cell_angle_alpha 90.00
_cell_angle_beta 88.74
_cell_angle_gamma 90.00
_symmetry_space_group_name_H-M 'P 1'
_symmetry_Int_Tables_number 1
loop_
_symmetry_equiv_pos_as_xyz
'x,y,z'
loop_
_atom_site_label
_atom_site_type_symbol
_atom_site_fract_x
_atom_site_fract_y
_atom_site_fract_z
_atom_site_occupancy
Tl1 Tl 0.0111 0.9691 0.2602 1
Tl2 Tl 0.5111 0.5309 0.7602 1
Tl3 Tl 0.9889 0.0309 0.7398 1
Tl4 Tl 0.4889 0.4691 0.2398 1
Hg1 Hg 0.5000 0.0000 0.0000 1
Hg2 Hg 0.0000 0.5000 0.5000 1
Pd1 Pd 0.5000 0.0000 0.5000 1
Pd2 Pd 0.0000 0.5000 0.0000 1
Br1 Br 0.2971 0.7571 0.0290 1
Br2 Br 0.7971 0.7429 0.5290 1
Br3 Br 0.7029 0.2429 0.9710 1
Br4 Br 0.2029 0.2571 0.4710 1
Br5 Br 0.3111 0.7717 0.4246 1
Br6 Br 0.8111 0.7283 0.9246 1
Br7 Br 0.6889 0.2283 0.5754 1
Br8 Br 0.1889 0.2717 0.0754 1
Br9 Br 0.9037 0.5626 0.2135 1
Br10 Br 0.4037 0.9374 0.7135 1
Br11 Br 0.0963 0.4374 0.7865 1
Br12 Br 0.5963 0.0626 0.2865 1
```


DFT (PBE) results for a relaxed Cs2CeTm2S6 crystal.

formation energy without anion corrections = -179 kJ per mole of atoms
size of the total moment = 0.0 Bohr magnetons per cell

```
data_Cs2CeTm2S6
_cell_length_a 6.9698
_cell_length_b 6.9698
_cell_length_c 8.5632
_cell_angle_alpha 97.87
_cell_angle_beta 97.87
_cell_angle_gamma 120.09
_symmetry_space_group_name_H-M 'P 1'
_symmetry_Int_Tables_number 1
loop_
_symmetry_equiv_pos_as_xyz
'x,y,z'
loop_
_atom_site_label
_atom_site_type_symbol
_atom_site_fract_x
_atom_site_fract_y
_atom_site_fract_z
_atom_site_occupancy
Cs1 Cs 0.8326 0.1674 0.0000 1
Cs2 Cs 0.1674 0.8326 0.0000 1
Ce1 Ce 0.0000 0.0000 0.5000 1
Tm1 Tm 0.3336 0.6664 0.5000 1
Tm2 Tm 0.6664 0.3336 0.5000 1
S1 S 0.7246 0.7246 0.6754 1
S2 S 0.0578 0.3941 0.6754 1
S3 S 0.2754 0.2754 0.3246 1
S4 S 0.3941 0.0578 0.6754 1
S5 S 0.9422 0.6059 0.3246 1
S6 S 0.6059 0.9422 0.3246 1
```


DFT (PBE) results for a relaxed Pm2TcC3 crystal.

ΔE_f = -0.0099 eV per atom
size of the total moment = 0.0 Bohr magnetons per cell

```
data_Pm2TcC3
_cell_length_a 5.6138
_cell_length_b 6.6564
_cell_length_c 6.6564
_cell_angle_alpha 124.06
_cell_angle_beta 90.00
_cell_angle_gamma 90.00
_symmetry_space_group_name_H-M 'P 1'
_symmetry_Int_Tables_number 1
loop_
_symmetry_equiv_pos_as_xyz
'x,y,z'
loop_
_atom_site_label
_atom_site_type_symbol
_atom_site_fract_x
_atom_site_fract_y
_atom_site_fract_z
_atom_site_occupancy
Pm1 Pm 0.5347 0.8873 0.5896 1
Pm2 Pm 0.0347 0.4104 0.1127 1
Pm3 Pm 0.5347 0.5896 0.8873 1
Pm4 Pm 0.0347 0.1127 0.4104 1
Tc1 Tc 0.0347 0.7948 0.7948 1
Tc2 Tc 0.5347 0.2052 0.2052 1
C1 C 0.0346 0.8059 0.5104 1
C2 C 0.5346 0.4896 0.1941 1
C3 C 0.0346 0.5104 0.8059 1
C4 C 0.5346 0.1941 0.4896 1
C5 C 0.2847 0.0000 0.0000 1
C6 C 0.7847 0.0000 0.0000 1
```


> What is the size of the total moment in the second record?

0.0 Bohr magnetons per cell


> Which value of size of the total moment does entry 3 give?

0.0 Bohr magnetons per cell